PBE+U PaCr3O8, relaxed; uncorrected energy = -97.35 eV for the cell shown; space group = P1 (1)
1.0
3.647 0.003 -1.073
-0.198 6.288 -0.686
-0.172 1.152 6.140
Pa Cr O
1 3 8
Cartesian
0.665 5.831 2.270
1.377 2.668 4.512
2.513 2.509 1.776
1.805 4.405 -0.576
1.149 4.587 3.972
1.223 7.108 4.205
3.072 2.706 3.692
0.791 2.223 2.657
2.422 4.483 1.516
0.096 4.860 0.347
2.007 2.516 0.008
2.544 0.569 1.905